First-principles (PBE-GGA) data for Ba2SrI after structural relaxation, as listed in the Alexandria database.

Unit cell a=8.611 b=8.611 c=8.611 alpha=102.30 beta=102.30 gamma=125.03
Element x y z (fractional)
Ba 0.055 0.125 0.430
Ba 0.375 0.945 0.070
Ba 0.695 0.625 0.570
Ba 0.875 0.305 0.930
Sr 0.250 0.750 0.500
Sr 0.500 0.500 0.000
I 0.000 0.000 0.000
I 0.750 0.250 0.500

Results
As for the energy above the most stable polymorph in this dataset: 210 meV per atom. Its energy is -0.08015 hartree per atom. The space-group type is I-42d. For the raw formation energy, the calculation gives -0.41 eV per atom.

First-principles (PBE-GGA) data for DyScInTc after structural relaxation, as listed in the Alexandria database.

Unit cell a=4.935 b=4.935 c=4.935 alpha=60.00 beta=60.00 gamma=60.00
Element x y z (fractional)
Dy 0.000 0.000 0.000
Sc 0.500 0.500 0.500
In 0.750 0.750 0.750
Tc 0.250 0.250 0.250

Results
The formation energy comes out at -0.1990 eV per atom. Its energy is -0.22816 hartree per atom. The space-group type is F-43m.

First-principles (PBE-GGA) data for TaTc5B3 after structural relaxation, as listed in the Alexandria database.

Unit cell a=5.796 b=5.796 c=8.528 alpha=114.58 beta=114.58 gamma=74.72
Element x y z (fractional)
Ta 0.080 0.080 0.292
Ta 0.920 0.920 0.708
Tc 0.025 0.601 0.365
Tc 0.258 0.258 0.090
Tc 0.305 0.695 0.000
Tc 0.399 0.975 0.635
Tc 0.426 0.426 0.675
Tc 0.574 0.574 0.325
Tc 0.601 0.025 0.365
Tc 0.695 0.305 0.000
Tc 0.742 0.742 0.910
Tc 0.975 0.399 0.635
B 0.000 0.000 0.000
B 0.000 0.000 0.500
B 0.275 0.275 0.856
B 0.389 0.389 0.404
B 0.611 0.611 0.596
B 0.725 0.725 0.144

Results
The formation energy comes out at -0.0169 eV per atom. Its energy is -0.34245 hartree per atom. The space-group type is C2/m.

First-principles (PBE-GGA) data for BaPt2Pb after structural relaxation, as listed in the Alexandria database.

Unit cell a=3.696 b=3.696 c=7.354 alpha=90.00 beta=90.00 gamma=90.00
Element x y z (fractional)
Ba 0.000 0.000 0.000
Pt 0.000 0.000 0.563
Pt 0.500 0.500 0.743
Pb 0.500 0.500 0.373

Results
The formation energy comes out at -0.2624 eV per atom. Its energy is -0.17238 hartree per atom. The space-group type is P4mm.

First-principles (PBE-GGA) data for CeScSb2 after structural relaxation, as listed in the Alexandria database.

Unit cell a=7.795 b=7.795 c=7.795 alpha=31.73 beta=31.73 gamma=31.73
Element x y z (fractional)
Ce 0.000 0.000 0.000
Sc 0.829 0.829 0.829
Sb 0.240 0.240 0.240
Sb 0.423 0.423 0.423

Results
As for the energy above the most stable polymorph in this dataset: 85 meV per atom. Its energy is -0.22142 hartree per atom. The space-group type is R3m. For the raw formation energy, the calculation gives -0.90 eV per atom.

First-principles (PBE-GGA) data for SmBe2GePd2 after structural relaxation, as listed in the Alexandria database.

Unit cell a=4.191 b=4.191 c=5.713 alpha=90.00 beta=90.00 gamma=90.00
Element x y z (fractional)
Sm 0.000 0.000 0.000
Be 0.000 0.500 0.500
Be 0.500 0.000 0.500
Ge 0.000 0.000 0.500
Pd 0.500 0.500 0.250
Pd 0.500 0.500 0.750

Results
The formation energy comes out at -0.2196 eV per atom. Its energy is -0.17451 hartree per atom. The space-group type is P4/mmm.

First-principles (PBE-GGA) data for LaTiSn2 after structural relaxation, as listed in the Alexandria database.

Unit cell a=6.270 b=6.270 c=6.270 alpha=43.83 beta=43.83 gamma=43.83
Element x y z (fractional)
La 0.000 0.000 0.000
Ti 0.500 0.500 0.500
Sn 0.227 0.227 0.227
Sn 0.773 0.773 0.773

Results
The formation energy comes out at -0.4277 eV per atom. As for the energy above the most stable polymorph in this dataset: 0 meV per atom. Its energy is -0.20707 hartree per atom. The space-group type is R-3m.

First-principles (PBE-GGA) data for TaTeSe2 after structural relaxation, as listed in the Alexandria database.

Unit cell a=7.435 b=7.435 c=7.435 alpha=154.76 beta=144.17 gamma=44.34
Element x y z (fractional)
Ta 0.000 0.000 0.000
Te 0.180 0.680 0.500
Se 0.537 0.537 0.000
Se 0.858 0.358 0.500

Results
Its energy is -0.20566 hartree per atom. The space-group type is Imm2. For the raw formation energy, the calculation gives -0.11 eV per atom.

First-principles (PBE-GGA) data for Ba2ZnRhPb after structural relaxation, as listed in the Alexandria database.

Unit cell a=6.059 b=6.059 c=5.227 alpha=90.00 beta=90.00 gamma=90.00
Element x y z (fractional)
Ba 0.000 0.500 0.000
Ba 0.500 0.000 0.000
Zn 0.000 0.000 0.500
Rh 0.500 0.500 0.000
Pb 0.500 0.500 0.500

Results
The formation energy comes out at -0.1810 eV per atom. As for the energy above the most stable polymorph in this dataset: 3 meV per atom. Its energy is -0.12557 hartree per atom. The space-group type is P4/mmm.

First-principles (PBE-GGA) data for ZnAsAu after structural relaxation, as listed in the Alexandria database.

Unit cell a=6.723 b=6.723 c=6.723 alpha=155.11 beta=155.11 gamma=35.49
Element x y z (fractional)
Zn 0.000 0.000 0.000
As 0.342 0.342 0.000
Au 0.645 0.645 0.000

Results
The formation energy comes out at 0.1051 eV per atom. Its energy is -0.10885 hartree per atom. The space-group type is I4mm.

First-principles (PBE-GGA) data for SrMnTeN2 after structural relaxation, as listed in the Alexandria database.

Unit cell a=4.041 b=4.041 c=5.392 alpha=90.00 beta=90.00 gamma=90.00
Element x y z (fractional)
Sr 0.000 0.000 0.000
Mn 0.500 0.500 0.500
Te 0.500 0.500 0.000
N 0.000 0.500 0.500
N 0.500 0.000 0.500

Results
Its energy is -0.20852 hartree per atom. The space-group type is P4/mmm. For the raw formation energy, the calculation gives 0.45 eV per atom.

First-principles (PBE-GGA) data for Cd8In3Sn2 after structural relaxation, as listed in the Alexandria database.

Unit cell a=12.622 b=12.622 c=12.622 alpha=26.05 beta=26.05 gamma=26.05
Element x y z (fractional)
Cd 0.225 0.225 0.225
Cd 0.230 0.230 0.730
Cd 0.230 0.730 0.230
Cd 0.270 0.770 0.770
Cd 0.730 0.230 0.230
Cd 0.770 0.270 0.770
Cd 0.770 0.770 0.270
Cd 0.775 0.775 0.775
In 0.317 0.317 0.317
In 0.500 0.500 0.500
In 0.683 0.683 0.683
Sn 0.142 0.142 0.142
Sn 0.858 0.858 0.858

Results
The formation energy comes out at 0.0988 eV per atom. Its energy is -0.06292 hartree per atom. The space-group type is R-3m.

First-principles (PBE-GGA) data for Zr2TlAs after structural relaxation, as listed in the Alexandria database.

Unit cell a=8.103 b=8.103 c=8.103 alpha=26.32 beta=26.32 gamma=26.32
Element x y z (fractional)
Zr 0.000 0.000 0.000
Zr 0.200 0.200 0.200
Tl 0.432 0.432 0.432
As 0.600 0.600 0.600

Results
The formation energy comes out at -0.5734 eV per atom. As for the energy above the most stable polymorph in this dataset: 8 meV per atom. Its energy is -0.24260 hartree per atom. The space-group type is R3m.

First-principles (PBE-GGA) data for ZrZn2Au after structural relaxation, as listed in the Alexandria database.

Unit cell a=4.087 b=4.087 c=4.257 alpha=90.00 beta=90.00 gamma=90.00
Element x y z (fractional)
Zr 0.000 0.000 0.000
Zn 0.000 0.500 0.500
Zn 0.500 0.000 0.500
Au 0.500 0.500 0.000

Results
The formation energy comes out at -0.3011 eV per atom. Its energy is -0.14312 hartree per atom. The space-group type is P4/mmm.